! Nd5Sm2Bi4 (PBE-GGA, optimized geometry); values from VASP
&SYSTEM
  ibrav = 0, nat = 11, ntyp = 3
/
ATOMIC_SPECIES
Nd 144.24 Nd.upf
Sm 150.36 Sm.upf
Bi 208.98 Bi.upf
CELL_PARAMETERS angstrom
3.5571 0.0000 0.0000
0.0000 8.2652 -1.8151
-1.7786 -5.2016 14.1782
ATOMIC_POSITIONS crystal
Nd 0.1713 0.8470 0.3425
Nd 0.8287 0.1530 0.6575
Nd 0.1397 0.2200 0.2793
Nd 0.5000 0.0000 0.0000
Nd 0.8603 0.7800 0.7207
Sm 0.7331 0.6436 0.4662
Sm 0.2669 0.3564 0.5338
Bi 0.5997 0.4527 0.1993
Bi 0.0491 0.7817 0.0983
Bi 0.4003 0.5473 0.8007
Bi 0.9509 0.2183 0.9017
! DOS(E_F) ... 11.63 states/eV/cell
! Total DFT energy (no corrections) ... -4.659 eV/atom
! Space-group type ... C2/m
! Volume ... 34.8 A^3/atom